# 1
BaPtC2 | GGA-PBE | relaxed

Cell and atoms, written as extended XYZ:
```
8
Lattice="-1.775 2.542 4.554 -5.206 -0.572 -1.710 -3.784 -3.515 3.820" Properties=species:S:1:pos:R:3 pbc="T T T"
C -2.941 0.975 4.191
C -5.962 1.287 4.407
C -4.766 -1.821 4.158
C -4.430 -0.416 6.837
Ba -3.491 0.985 1.422
Ba -6.240 -1.551 1.766
Pt 0.000 0.000 0.000
Pt -4.525 0.006 4.898
```

- Spin magnetization: 0.00 μB/atom
- ΔH_f (0 K): 851 meV/atom
- SG: I-42d (122)
- Electronic total energy: -5.751 eV per atom
- V: 155.03 Å³/cell



# 2
BaPtRh2C | GGA-PBE | relaxed

Cell and atoms, written as extended XYZ:
```
5
Lattice="-3.620 -0.650 -3.047 3.982 -2.348 -4.231 -0.703 -4.380 1.769" Properties=species:S:1:pos:R:3 pbc="T T T"
C -0.170 -3.689 -2.754
Rh -0.351 -2.190 0.885
Rh -1.810 -0.325 -1.523
Ba 1.991 -1.174 -2.115
Pt 0.000 0.000 0.000
```

- Spin magnetization: 0.46 μB/atom
- ΔH_f (0 K): 1746 meV/atom
- SG: P4/mmm (123)
- Electronic total energy: -4.632 eV per atom
- V: 142.93 Å³/cell



# 3
BaPtC2Se | GGA-PBE | relaxed

Cell and atoms, written as extended XYZ:
```
5
Lattice="4.430 0.000 0.000 0.000 4.893 0.000 0.000 0.000 4.430" Properties=species:S:1:pos:R:3 pbc="T T T"
C 0.000 0.000 2.215
C 2.215 0.000 0.000
Se 0.000 0.000 0.000
Ba 2.215 2.446 2.215
Pt 0.000 2.446 0.000
```

- Spin magnetization: 0.30 μB/atom
- Formation energy without anion corrections: 1.563 eV per atom
- SG: P4/mmm (123)
- Electronic total energy: -4.416 eV per atom
- V: 96.02 Å³/cell